TaCSe2 | PBEsol | relaxed

Unit cell a=7.8478 b=7.8478 c=7.8478 alpha=22.89 beta=22.89 gamma=22.89
Closest atoms and distances in Å follow each position.
Positions (direct):
Ta (0.0000, 0.0000, 0.0000)  2 Se 2.48
C (0.5000, 0.5000, 0.5000)  6 Se 2.24
Se (0.1083, 0.1083, 0.1083)  3 C 2.24, 1 Ta 2.48
Se (0.8917, 0.8917, 0.8917)  3 C 2.24, 1 Ta 2.48

Results
**N(E_F)**: 2.8 states/eV per cell
**VASP energy**: -6.295 eV per atom

---

KMnW2 | PBEsol | relaxed

Unit cell a=4.6038 b=4.6038 c=4.6038 alpha=60.00 beta=60.00 gamma=60.00
Closest atoms and distances in Å follow each position.
Positions (direct):
K (0.0000, 0.0000, 0.0000)  4 Mn 2.82, 4 W 2.82
Mn (0.7500, 0.7500, 0.7500)  4 W 2.82, 4 K 2.82
W (0.2500, 0.2500, 0.2500)  4 W 2.82, 4 K 2.82
W (0.5000, 0.5000, 0.5000)  4 Mn 2.82, 4 W 2.82

Results
**Formation enthalpy at 0 K**: 1677 meV/atom
**N(E_F)**: 3.8 states/eV per cell
**Excess energy over the best structure of this formula in the dataset**: 689 meV per atom
**VASP energy**: -7.950 eV per atom

---

Y2SiNi | PBEsol | relaxed

Unit cell a=4.7056 b=4.7056 c=4.7056 alpha=60.00 beta=60.00 gamma=60.00
Closest atoms and distances in Å follow each position.
Positions (direct):
Y (0.0000, 0.0000, 0.0000)  4 Si 2.88, 4 Y 2.88
Y (0.2500, 0.2500, 0.2500)  4 Ni 2.88, 4 Y 2.88
Si (0.7500, 0.7500, 0.7500)  4 Ni 2.88, 4 Y 2.88
Ni (0.5000, 0.5000, 0.5000)  4 Si 2.88, 4 Y 2.88

Results
**N(E_F)**: 5.5 states/eV per cell
**VASP energy**: -6.383 eV per atom